1.
A plane-wave DFT calculation with PBE-GGA was carried out for crystalline Ba2CuPt at its relaxed geometry.

The formation enthalpy at 0 K comes out at -321 meV/atom. The value obtained for the total DFT energy (no corrections) is -15.27 eV/cell.

The structure belongs to space group P4/mmm (No. 123); the cell edges are 3.9160, 3.9160 and 7.8924 Å and the angles 90.00°, 90.00° and 90.00°. The inequivalent atoms are Ba at (0.0000, 0.0000, 0.2354), Cu at (0.5000, 0.5000, 0.5000) and Pt at (0.5000, 0.5000, 0.0000).


2.
A plane-wave DFT calculation with PBE-GGA was carried out for crystalline TaPCl3 at its relaxed geometry.

The value obtained for the total DFT energy (no corrections) is -22.38 eV/cell. As for the formation energy (no corrections): 0.084 eV per atom. The calculation puts the offset from the most stable computed form at 0 kJ/mol of formula units.

The structure belongs to space group Pm-3m (No. 221); the cell edges are 4.9023, 4.9023 and 4.9023 Å and the angles 90.00°, 90.00° and 90.00°. The inequivalent atoms are Ta at (0.0000, 0.0000, 0.0000), P at (0.5000, 0.5000, 0.5000) and Cl at (0.0000, 0.0000, 0.5000).


3.
A plane-wave DFT calculation with PBE-GGA was carried out for crystalline TmCdPb3 at its relaxed geometry.

The formation enthalpy at 0 K comes out at -49 meV/atom. The value obtained for the total DFT energy (no corrections) is -67.02 eV/cell. The calculation puts the offset from the most stable computed form at 35 kJ/mol of formula units.

The structure belongs to space group Pnma (No. 62); the cell edges are 7.4093, 8.9374 and 8.9114 Å and the angles 90.00°, 90.00° and 90.00°. The inequivalent atoms are Tm at (0.0000, 0.0000, 0.0000), Cd at (0.2069, 0.2500, 0.4597), Pb at (0.1156, 0.5549, 0.6625) and Pb at (0.1916, 0.7500, 0.3375).


4.
A plane-wave DFT calculation with PBE-GGA was carried out for crystalline ZnIrAu at its relaxed geometry.

The formation enthalpy at 0 K comes out at 311 meV/atom. The value obtained for the total DFT energy (no corrections) is -49.92 eV/cell. The calculation puts the offset from the most stable computed form at 123 kJ/mol of formula units.

The structure belongs to space group F-43m (No. 216); the cell edges are 5.9165, 5.9165 and 5.9165 Å and the angles 90.00°, 90.00° and 90.00°. The inequivalent atoms are Zn at (0.0000, 0.0000, 0.0000), Ir at (0.2500, 0.2500, 0.2500) and Au at (0.2500, 0.2500, 0.7500).